Arrangement 1

This record from Alexandria via LeMat-Bulk describes crystalline KHg3H at its relaxed geometry. The functional is PBE.

Summary:
Crystal system = triclinic
Magnetic moment = 0.00 μB per atom

Cell and atoms, written as CIF:
```
data_KHg3H
_chemical_formula_sum 'K2 Hg6 H2'
_symmetry_space_group_name_H-M 'P 1'
_symmetry_Int_Tables_number 1
_cell_length_a 5.575
_cell_length_b 6.421
_cell_length_c 8.912
_cell_angle_alpha 69.08
_cell_angle_beta 79.67
_cell_angle_gamma 64.38
loop_
_symmetry_equiv_pos_as_xyz
'x,y,z'
loop_
_atom_site_label
_atom_site_fract_x
_atom_site_fract_y
_atom_site_fract_z
K1 0.000 0.000 0.000
K2 0.156 0.433 0.424
Hg1 0.320 0.354 0.028
Hg2 0.458 0.874 0.328
Hg3 0.580 0.449 0.671
Hg4 0.682 0.555 0.106
Hg5 0.841 0.073 0.408
Hg6 0.912 0.699 0.746
H1 0.237 0.017 0.700
H2 0.322 0.065 0.724
```

Arrangement 2

This record from Alexandria via LeMat-Bulk describes crystalline KHg3H at its relaxed geometry. The functional is PBE.

Summary:
Crystal system = triclinic
Magnetic moment = 0.00 μB per atom

Cell and atoms, written as CIF:
```
data_KHg3H
_chemical_formula_sum 'K2 Hg6 H2'
_symmetry_space_group_name_H-M 'P -1'
_symmetry_Int_Tables_number 2
_cell_length_a 5.480
_cell_length_b 6.066
_cell_length_c 9.144
_cell_angle_alpha 74.95
_cell_angle_beta 73.79
_cell_angle_gamma 65.78
loop_
_symmetry_equiv_pos_as_xyz
'x,y,z'
'-x,-y,-z'
loop_
_atom_site_label
_atom_site_fract_x
_atom_site_fract_y
_atom_site_fract_z
K1 0.001 0.268 0.249
Hg1 0.279 0.080 0.880
Hg2 0.317 0.596 0.350
Hg3 0.500 0.000 0.500
Hg4 0.500 0.500 0.000
H1 0.163 0.065 0.527
```

It is arrangement 1 that is most stable; the runner-up trails by 92 meV per atom.

Arrangement 1

This record from Alexandria via LeMat-Bulk describes crystalline KHgH at its relaxed geometry. The functional is PBE.

Summary:
Crystal system = monoclinic
Magnetic moment = 0.00 μB per atom

Cell and atoms, written as CIF:
```
data_KHgH
_chemical_formula_sum 'K4 Hg4 H4'
_symmetry_space_group_name_H-M 'C 1 2/m 1'
_symmetry_Int_Tables_number 12
_cell_length_a 9.347
_cell_length_b 5.353
_cell_length_c 8.437
_cell_angle_alpha 90.00
_cell_angle_beta 110.38
_cell_angle_gamma 90.00
loop_
_symmetry_equiv_pos_as_xyz
'x,y,z'
'-x,-y,-z'
'-x,y,-z'
'x,-y,z'
'x+1/2,y+1/2,z'
'-x+1/2,-y+1/2,-z'
'-x+1/2,y+1/2,-z'
'x+1/2,-y+1/2,z'
loop_
_atom_site_label
_atom_site_fract_x
_atom_site_fract_y
_atom_site_fract_z
K1 0.079 0.000 0.249
Hg1 0.166 0.500 0.998
H1 0.020 0.500 0.548
```

Arrangement 2

This record from Alexandria via LeMat-Bulk describes crystalline KHgH at its relaxed geometry. The functional is PBE.

Summary:
Crystal system = tetragonal
Magnetic moment = 0.00 μB per atom

Cell and atoms, written as CIF:
```
data_KHgH
_chemical_formula_sum 'K2 Hg2 H2'
_symmetry_space_group_name_H-M 'I 4 m m'
_symmetry_Int_Tables_number 107
_symmetry_space_group_name_Hall 'I 4 -2'
_cell_length_a 3.715
_cell_length_b 3.715
_cell_length_c 12.738
_cell_angle_alpha 90.00
_cell_angle_beta 90.00
_cell_angle_gamma 90.00
loop_
_atom_site_label
_atom_site_fract_x
_atom_site_fract_y
_atom_site_fract_z
K1 0.000 0.000 0.000
Hg1 0.000 0.000 0.275
H1 0.000 0.000 0.464
```

It is arrangement 1 that is most stable; the runner-up trails by 60 meV per atom.

Arrangement 1

This record from Alexandria via LeMat-Bulk describes crystalline KHgH at its relaxed geometry. The functional is PBE.

Summary:
Crystal system = cubic
Magnetic moment = 0.00 μB per atom

Cell and atoms, written as CIF:
```
data_KHgH
_chemical_formula_sum 'K4 Hg4 H4'
_symmetry_space_group_name_H-M 'F -4 3 m'
_symmetry_Int_Tables_number 216
_symmetry_space_group_name_Hall 'F -4 2 3'
_cell_length_a 6.883
_cell_length_b 6.883
_cell_length_c 6.883
_cell_angle_alpha 90.00
_cell_angle_beta 90.00
_cell_angle_gamma 90.00
loop_
_atom_site_label
_atom_site_fract_x
_atom_site_fract_y
_atom_site_fract_z
K1 0.000 0.000 0.000
Hg1 0.000 0.000 0.500
H1 0.250 0.250 0.250
```

Arrangement 2

This record from Alexandria via LeMat-Bulk describes crystalline KHgH at its relaxed geometry. The functional is PBE.

Summary:
Crystal system = monoclinic
Magnetic moment = 0.00 μB per atom

Cell and atoms, written as CIF:
```
data_KHgH
_chemical_formula_sum 'K2 Hg2 H2'
_symmetry_space_group_name_H-M 'P 1 21/m 1'
_symmetry_Int_Tables_number 11
_cell_length_a 4.077
_cell_length_b 4.094
_cell_length_c 8.484
_cell_angle_alpha 90.00
_cell_angle_beta 90.02
_cell_angle_gamma 90.00
loop_
_symmetry_equiv_pos_as_xyz
'x,y,z'
'-x,-y,-z'
'-x,y+1/2,-z'
'x,-y+1/2,z'
loop_
_atom_site_label
_atom_site_fract_x
_atom_site_fract_y
_atom_site_fract_z
K1 0.249 0.250 0.173
Hg1 0.250 0.250 0.570
H1 0.252 0.250 0.831
```

It is arrangement 2 that is most stable; the runner-up trails by 134 meV per atom.

Arrangement 1

This record from Alexandria via LeMat-Bulk describes crystalline K2HgH6 at its relaxed geometry. The functional is PBE.

Summary:
Crystal system = cubic
Magnetic moment = 0.00 μB per atom

Cell and atoms, written as CIF:
```
data_K2HgH6
_chemical_formula_sum 'K8 Hg4 H24'
_symmetry_space_group_name_H-M 'F m -3 m'
_symmetry_Int_Tables_number 225
_symmetry_space_group_name_Hall '-F 4 2 3'
_cell_length_a 8.045
_cell_length_b 8.045
_cell_length_c 8.045
_cell_angle_alpha 90.00
_cell_angle_beta 90.00
_cell_angle_gamma 90.00
loop_
_atom_site_label
_atom_site_fract_x
_atom_site_fract_y
_atom_site_fract_z
K1 0.250 0.250 0.250
Hg1 0.000 0.000 0.000
H1 0.000 0.000 0.229
```

Arrangement 2

This record from Alexandria via LeMat-Bulk describes crystalline K2HgH6 at its relaxed geometry. The functional is PBE.

Summary:
Crystal system = monoclinic
Magnetic moment = 0.00 μB per atom

Cell and atoms, written as CIF:
```
data_K2HgH6
_chemical_formula_sum 'K8 Hg4 H24'
_symmetry_space_group_name_H-M 'C 1 2/m 1'
_symmetry_Int_Tables_number 12
_cell_length_a 8.167
_cell_length_b 7.238
_cell_length_c 10.729
_cell_angle_alpha 90.00
_cell_angle_beta 101.42
_cell_angle_gamma 90.00
loop_
_symmetry_equiv_pos_as_xyz
'x,y,z'
'-x,-y,-z'
'-x,y,-z'
'x,-y,z'
'x+1/2,y+1/2,z'
'-x+1/2,-y+1/2,-z'
'-x+1/2,y+1/2,-z'
'x+1/2,-y+1/2,z'
loop_
_atom_site_label
_atom_site_fract_x
_atom_site_fract_y
_atom_site_fract_z
K1 0.085 0.238 0.357
Hg1 0.211 0.500 0.858
H1 0.014 0.500 0.877
H2 0.081 0.000 0.128
H3 0.155 0.500 0.659
H4 0.171 0.000 0.589
H5 0.215 0.271 0.871
```

It is arrangement 2 that is most stable; the runner-up trails by 45 meV per atom.

Arrangement 1

This record from Alexandria via LeMat-Bulk describes crystalline K2HgH at its relaxed geometry. The functional is PBE.

Summary:
Crystal system = trigonal
Magnetic moment = 0.00 μB per atom

Cell and atoms, written as CIF:
```
data_K2HgH
_chemical_formula_sum 'K6 Hg3 H3'
_symmetry_space_group_name_H-M 'R 3 m'
_symmetry_Int_Tables_number 160
_symmetry_space_group_name_Hall 'R 3 -2"'
_cell_length_a 3.9653
_cell_length_b 3.9653
_cell_length_c 26.9972
_cell_angle_alpha 90.00
_cell_angle_beta 90.00
_cell_angle_gamma 120.00
loop_
_atom_site_label
_atom_site_fract_x
_atom_site_fract_y
_atom_site_fract_z
K1 0.0000 0.0000 0.0000
K2 0.0000 0.0000 0.2093
Hg1 0.0000 0.0000 0.4377
H1 0.0000 0.0000 0.6045
```

Arrangement 2

This record from Alexandria via LeMat-Bulk describes crystalline K2HgH at its relaxed geometry. The functional is PBE.

Summary:
Crystal system = tetragonal
Magnetic moment = 0.00 μB per atom

Cell and atoms, written as CIF:
```
data_K2HgH
_chemical_formula_sum 'K8 Hg4 H4'
_symmetry_space_group_name_H-M 'I -4 2 d'
_symmetry_Int_Tables_number 122
_symmetry_space_group_name_Hall 'I -4 2bw'
_cell_length_a 8.271
_cell_length_b 8.271
_cell_length_c 7.871
_cell_angle_alpha 90.00
_cell_angle_beta 90.00
_cell_angle_gamma 90.00
loop_
_atom_site_label
_atom_site_fract_x
_atom_site_fract_y
_atom_site_fract_z
K1 0.154 0.250 0.125
Hg1 0.000 0.000 0.500
H1 0.000 0.000 0.000
```

It is arrangement 1 that is most stable; the runner-up trails by 44 meV per atom.

Arrangement 1

This record from Alexandria via LeMat-Bulk describes crystalline K2HgH at its relaxed geometry. The functional is PBE.

Summary:
Crystal system = tetragonal
Magnetic moment = 0.00 μB per atom

Cell and atoms, written as CIF:
```
data_K2HgH
_chemical_formula_sum 'K2 Hg1 H1'
_symmetry_space_group_name_H-M 'P 4/m m m'
_symmetry_Int_Tables_number 123
_symmetry_space_group_name_Hall '-P 4 2'
_cell_length_a 3.540
_cell_length_b 3.540
_cell_length_c 8.802
_cell_angle_alpha 90.00
_cell_angle_beta 90.00
_cell_angle_gamma 90.00
loop_
_atom_site_label
_atom_site_fract_x
_atom_site_fract_y
_atom_site_fract_z
K1 0.000 0.000 0.192
Hg1 0.500 0.500 0.500
H1 0.500 0.500 0.000
```

Arrangement 2

This record from Alexandria via LeMat-Bulk describes crystalline K2HgH at its relaxed geometry. The functional is PBE.

Summary:
Crystal system = cubic
Magnetic moment = 0.00 μB per atom

Cell and atoms, written as CIF:
```
data_K2HgH
_chemical_formula_sum 'K8 Hg4 H4'
_symmetry_space_group_name_H-M 'F m -3 m'
_symmetry_Int_Tables_number 225
_symmetry_space_group_name_Hall '-F 4 2 3'
_cell_length_a 8.038
_cell_length_b 8.038
_cell_length_c 8.038
_cell_angle_alpha 90.00
_cell_angle_beta 90.00
_cell_angle_gamma 90.00
loop_
_atom_site_label
_atom_site_fract_x
_atom_site_fract_y
_atom_site_fract_z
K1 0.250 0.250 0.250
Hg1 0.000 0.000 0.000
H1 0.000 0.000 0.500
```

It is arrangement 1 that is most stable; the runner-up trails by 185 meV per atom.

Arrangement 1

This record from Alexandria via LeMat-Bulk describes crystalline KHg2H at its relaxed geometry. The functional is PBE.

Summary:
Crystal system = triclinic
Magnetic moment = 0.00 μB per atom

Cell and atoms, written as CIF:
```
data_KHg2H
_chemical_formula_sum 'K2 Hg4 H2'
_symmetry_space_group_name_H-M 'P -1'
_symmetry_Int_Tables_number 2
_cell_length_a 3.740
_cell_length_b 5.798
_cell_length_c 10.009
_cell_angle_alpha 101.60
_cell_angle_beta 90.96
_cell_angle_gamma 107.47
loop_
_symmetry_equiv_pos_as_xyz
'x,y,z'
'-x,-y,-z'
loop_
_atom_site_label
_atom_site_fract_x
_atom_site_fract_y
_atom_site_fract_z
K1 0.151 0.287 0.109
Hg1 0.104 0.200 0.709
Hg2 0.362 0.730 0.574
H1 0.398 0.796 0.094
```

Arrangement 2

This record from Alexandria via LeMat-Bulk describes crystalline KHg2H at its relaxed geometry. The functional is PBE.

Summary:
Crystal system = cubic
Magnetic moment = 0.00 μB per atom

Cell and atoms, written as CIF:
```
data_KHg2H
_chemical_formula_sum 'K4 Hg8 H4'
_symmetry_space_group_name_H-M 'F m -3 m'
_symmetry_Int_Tables_number 225
_symmetry_space_group_name_Hall '-F 4 2 3'
_cell_length_a 7.719
_cell_length_b 7.719
_cell_length_c 7.719
_cell_angle_alpha 90.00
_cell_angle_beta 90.00
_cell_angle_gamma 90.00
loop_
_atom_site_label
_atom_site_fract_x
_atom_site_fract_y
_atom_site_fract_z
K1 0.000 0.000 0.000
Hg1 0.250 0.250 0.250
H1 0.000 0.000 0.500
```

Arrangement 3

This record from Alexandria via LeMat-Bulk describes crystalline KHg2H at its relaxed geometry. The functional is PBE.

Summary:
Crystal system = tetragonal
Magnetic moment = 0.00 μB per atom

Cell and atoms, written as CIF:
```
data_KHg2H
_chemical_formula_sum 'K4 Hg8 H4'
_symmetry_space_group_name_H-M 'I -4 2 d'
_symmetry_Int_Tables_number 122
_symmetry_space_group_name_Hall 'I -4 2bw'
_cell_length_a 8.555
_cell_length_b 8.555
_cell_length_c 5.720
_cell_angle_alpha 90.00
_cell_angle_beta 90.00
_cell_angle_gamma 90.00
loop_
_atom_site_label
_atom_site_fract_x
_atom_site_fract_y
_atom_site_fract_z
K1 0.000 0.000 0.000
Hg1 0.172 0.250 0.625
H1 0.000 0.000 0.500
```

It is arrangement 1 that is most stable; the runner-up trails by 59 meV per atom.

Arrangement 1

This record from Alexandria via LeMat-Bulk describes crystalline KHgH2 at its relaxed geometry. The functional is PBE.

Summary:
Crystal system = cubic
Magnetic moment = 0.00 μB per atom

Cell and atoms, written as CIF:
```
data_KHgH2
_chemical_formula_sum 'K4 Hg4 H8'
_symmetry_space_group_name_H-M 'F m -3 m'
_symmetry_Int_Tables_number 225
_symmetry_space_group_name_Hall '-F 4 2 3'
_cell_length_a 6.489
_cell_length_b 6.489
_cell_length_c 6.489
_cell_angle_alpha 90.00
_cell_angle_beta 90.00
_cell_angle_gamma 90.00
loop_
_atom_site_label
_atom_site_fract_x
_atom_site_fract_y
_atom_site_fract_z
K1 0.000 0.000 0.000
Hg1 0.000 0.000 0.500
H1 0.250 0.250 0.250
```

Arrangement 2

This record from Alexandria via LeMat-Bulk describes crystalline KHgH2 at its relaxed geometry. The functional is PBE.

Summary:
Crystal system = trigonal
Magnetic moment = 0.00 μB per atom

Cell and atoms, written as CIF:
```
data_KHgH2
_chemical_formula_sum 'K3 Hg3 H6'
_symmetry_space_group_name_H-M 'R -3 m'
_symmetry_Int_Tables_number 166
_symmetry_space_group_name_Hall '-R 3 2"'
_cell_length_a 4.3481
_cell_length_b 4.3481
_cell_length_c 15.9412
_cell_angle_alpha 90.00
_cell_angle_beta 90.00
_cell_angle_gamma 120.00
loop_
_atom_site_label
_atom_site_fract_x
_atom_site_fract_y
_atom_site_fract_z
K1 0.0000 0.0000 0.0000
Hg1 0.0000 0.0000 0.5000
H1 0.0000 0.0000 0.3952
```

Arrangement 3

This record from Alexandria via LeMat-Bulk describes crystalline KHgH2 at its relaxed geometry. The functional is PBE.

Summary:
Crystal system = monoclinic
Magnetic moment = 0.00 μB per atom

Cell and atoms, written as CIF:
```
data_KHgH2
_chemical_formula_sum 'K2 Hg2 H4'
_symmetry_space_group_name_H-M 'P 1 21/m 1'
_symmetry_Int_Tables_number 11
_cell_length_a 4.898
_cell_length_b 4.988
_cell_length_c 7.082
_cell_angle_alpha 90.00
_cell_angle_beta 110.16
_cell_angle_gamma 90.00
loop_
_symmetry_equiv_pos_as_xyz
'x,y,z'
'-x,-y,-z'
'-x,y+1/2,-z'
'x,-y+1/2,z'
loop_
_atom_site_label
_atom_site_fract_x
_atom_site_fract_y
_atom_site_fract_z
K1 0.153 0.250 0.304
Hg1 0.417 0.250 0.836
H1 0.339 0.549 0.681
```

It is arrangement 2 that is most stable; the runner-up trails by 65 meV per atom.